Record 1
Material: BaAg5Cl12
Method: DFT, PBE-GGA
State: relaxed

The structure in extended XYZ format:
```
18
Lattice="7.041 0.522 1.237 4.108 6.293 0.976 2.883 0.875 12.712" Properties=species:S:1:pos:R:3 pbc="T T T"
Ba 0.000 0.000 0.000
Ag 4.962 0.698 6.975
Ag 5.344 4.716 7.209
Ag 8.688 2.973 7.716
Ag 7.539 4.582 1.577
Ag 6.493 3.108 13.348
Cl 11.334 6.876 6.885
Cl 2.697 0.814 8.040
Cl 11.512 7.410 13.046
Cl 2.520 0.280 1.879
Cl 7.873 4.688 12.087
Cl 9.719 4.369 3.470
Cl 4.313 3.320 11.456
Cl 6.159 3.002 2.838
Cl 6.394 3.056 8.738
Cl 10.101 5.356 9.503
Cl 3.931 2.334 5.422
Cl 7.638 4.634 6.187
```

## Properties
Raw formation energy   -645 meV per atom
SG   No. 2

Record 2
Material: HgAs2Pb
Method: DFT, PBE-GGA
State: relaxed

The structure in extended XYZ format:
```
8
Lattice="-2.220 -5.204 -2.795 5.902 -1.839 -1.265 2.069 -6.573 3.471" Properties=species:S:1:pos:R:3 pbc="T T T"
Pb 0.000 0.000 0.000
Pb 0.845 -7.649 -0.677
As -0.108 -5.068 -1.006
As 3.904 -3.501 -0.304
As 2.998 -7.591 1.066
As 4.708 -11.071 -0.936
Hg 1.841 -3.521 -2.030
Hg 4.906 -5.967 0.088
```

## Properties
SG   No. 122
Energy above the lowest structure with this stoichiometry   66 meV per atom
Formation enthalpy at 0 K   117.0 meV per atom

Record 3
Material: Cd2Si2Ge
Method: DFT, PBE-GGA
State: relaxed

The structure in extended XYZ format:
```
5
Lattice="-0.275 3.689 2.351 -4.031 -1.129 1.300 -0.005 -1.349 6.201" Properties=species:S:1:pos:R:3 pbc="T T T"
Ge 0.000 0.000 0.000
Si -1.711 0.739 2.725
Si -2.599 0.471 7.128
Cd -1.216 1.810 5.189
Cd -3.094 -0.599 4.664
```

## Properties
Raw formation energy   459 meV per atom
SG   No. 139
Energy above the lowest structure with this stoichiometry   146 meV per atom

Record 4
Material: Er8Ge3PtSe4
Method: DFT, PBE-GGA
State: relaxed

The structure in extended XYZ format:
```
16
Lattice="-5.299 5.906 1.814 -5.348 -3.130 -5.431 2.979 -4.748 5.901" Properties=species:S:1:pos:R:3 pbc="T T T"
Er -2.282 -5.558 2.294
Er -3.772 -3.183 -0.657
Er -1.233 -1.731 2.035
Er -4.932 -2.604 3.202
Er -2.735 0.632 -0.918
Er -6.434 -0.241 0.249
Er -3.895 1.211 2.941
Er -5.385 3.585 -0.010
Ge -5.323 1.388 -1.808
Ge -3.834 -0.986 1.142
Ge -1.184 -3.939 0.235
Pt -2.674 -1.565 -2.716
Se -2.649 2.953 0.907
Se -1.160 0.579 3.858
Se 0.000 0.000 0.000
Se 1.490 -2.374 2.950
```

## Properties
Raw formation energy   -1370 meV per atom
SG   No. 166

Record 5
Material: TiSe2Cl
Method: DFT, PBE-GGA
State: relaxed

The structure in extended XYZ format:
```
4
Lattice="0.382 1.812 4.355 2.515 3.946 0.709 -2.202 4.048 1.080" Properties=species:S:1:pos:R:3 pbc="T T T"
Cl 0.000 0.000 0.000
Se 0.174 2.451 1.536
Se 0.522 7.354 4.608
Ti 0.348 4.903 3.072
```

## Properties
Raw formation energy   -149 meV per atom
SG   No. 225
Energy above the lowest structure with this stoichiometry   616 meV per atom

Record 6
Material: Nd2Dy3Ho6
Method: DFT, PBE-GGA
State: relaxed

The structure in extended XYZ format:
```
11
Lattice="-5.375 -2.124 -1.943 -0.235 -5.107 -3.335 -2.824 -6.947 8.960" Properties=species:S:1:pos:R:3 pbc="T T T"
Nd -2.465 -7.232 1.933
Nd -5.970 -6.946 1.749
Dy 0.000 0.000 0.000
Dy -1.879 -2.396 -1.751
Dy -3.732 -4.835 -3.526
Ho -4.518 -9.518 3.716
Ho -6.153 -6.822 5.291
Ho -2.647 -7.108 5.474
Ho -2.045 -2.249 1.726
Ho -3.916 -4.660 -0.033
Ho -5.787 -7.069 -1.792
```

## Properties
SG   No. 12
Energy above the lowest structure with this stoichiometry   0 meV per atom
Formation enthalpy at 0 K   183.6 meV per atom

Record 7
Material: Ba3Zn2In4
Method: DFT, PBE-GGA
State: relaxed

The structure in extended XYZ format:
```
9
Lattice="-3.314 0.351 -3.865 -6.270 -0.864 1.929 -4.337 8.840 1.152" Properties=species:S:1:pos:R:3 pbc="T T T"
Ba -8.337 5.230 0.885
Ba 0.000 0.000 0.000
Ba -5.585 3.096 -1.669
Zn -8.251 1.705 0.491
Zn -5.671 6.621 -1.275
In -3.730 0.492 -0.126
In -10.192 7.834 -0.658
In -4.849 5.441 1.282
In -9.073 2.885 -2.066
```

## Properties
SG   No. 12
Formation enthalpy at 0 K   -366.5 meV per atom

Record 8
Material: Ta2BeCr
Method: DFT, PBE-GGA
State: relaxed

The structure in extended XYZ format:
```
4
Lattice="2.687 0.000 0.000 0.000 2.687 0.000 0.000 0.000 8.022" Properties=species:S:1:pos:R:3 pbc="T T T"
Cr 1.344 1.344 5.671
Be 0.000 0.000 4.153
Ta 0.000 0.000 7.885
Ta 1.344 1.344 2.345
```

## Properties
SG   No. 99
Formation enthalpy at 0 K   252.0 meV per atom

Computed values of density of states at the Fermi level (unit: states/eV/cell) for the preceding records, in sequence: 12.2; 0.6; 1.8; 5.7; 1.3; 18.0; 2.8; 4.1.
Computed values of total magnetization (unit: μB/f.u.) for the preceding records, in sequence: 1.57; 0.00; 0.00; 0.00; 0.00; 0.00; 0.00; 0.03.
Computed values of calculated volume (unit: Å³/cell) for the preceding records, in sequence: 513.4; 250.6; 106.4; 388.3; 75.0; 370.9; 288.1; 57.9.